Entry 1:
A plane-wave DFT calculation with PBE was carried out for BaCaEu after structural relaxation.

Lattice parameters (Å, degrees): 7.762 7.762 7.762 145.68 145.68 49.33
Fractional positions:
Ba: 0.000 0.000 0.000
Ca: 0.675 0.675 0.000
Eu: 0.319 0.319 0.000

## Properties
ΔE to the lowest computed polymorph, eV/atom: 0.000
DFT formation energy, meV per atom: 43.4
N(E_F), states/eV/f.u.: 12.97
M_tot, μB/f.u.: 8.07

=====

Entry 2:
A plane-wave DFT calculation with PBE was carried out for Th6GeP2C3 after structural relaxation.

Lattice parameters (Å, degrees): 9.017 9.017 8.112 104.91 104.91 25.23
Fractional positions:
Th: 0.007 0.007 0.228
Th: 0.325 0.325 0.431
Th: 0.338 0.338 0.901
Th: 0.662 0.662 0.099
Th: 0.675 0.675 0.569
Th: 0.993 0.993 0.772
Ge: 0.500 0.500 0.500
P: 0.167 0.167 0.833
P: 0.833 0.833 0.167
C: 0.169 0.169 0.331
C: 0.500 0.500 0.000
C: 0.831 0.831 0.669

## Properties
DFT formation energy, meV per atom: -747.8
N(E_F), states/eV/f.u.: 6.46
M_tot, μB/f.u.: 0.00

=====

Entry 3:
A plane-wave DFT calculation with PBE was carried out for LaMn2AsIr after structural relaxation.

Lattice parameters (Å, degrees): 4.572 4.572 4.980 90.00 90.00 90.00
Fractional positions:
La: 0.000 0.000 0.000
Mn: 0.000 0.500 0.500
Mn: 0.500 0.000 0.500
As: 0.500 0.500 0.000
Ir: 0.500 0.500 0.500

## Properties
DFT formation energy, meV per atom: 608.2
N(E_F), states/eV/f.u.: 9.65
M_tot, μB/f.u.: 0.12

=====

Entry 4:
A plane-wave DFT calculation with PBE was carried out for Hg2PbSe after structural relaxation.

Lattice parameters (Å, degrees): 7.716 7.716 7.716 31.42 31.42 31.42
Fractional positions:
Hg: 0.241 0.241 0.241
Hg: 0.759 0.759 0.759
Pb: 0.000 0.000 0.000
Se: 0.500 0.500 0.500

## Properties
N(E_F), states/eV/f.u.: 0.94
M_tot, μB/f.u.: 0.00
Raw formation energy, eV/atom: -0.049

=====

Entry 5:
A plane-wave DFT calculation with PBE was carried out for LiNiBr after structural relaxation.

Lattice parameters (Å, degrees): 4.809 4.809 5.097 90.00 90.00 90.00
Fractional positions:
Li: 0.250 0.250 0.148
Li: 0.750 0.750 0.852
Ni: 0.250 0.250 0.645
Ni: 0.750 0.750 0.355
Br: 0.250 0.750 0.500
Br: 0.750 0.250 0.500

## Properties
ΔE to the lowest computed polymorph, eV/atom: 0.561
N(E_F), states/eV/f.u.: 1.88
M_tot, μB/f.u.: 0.00
Raw formation energy, eV/atom: 0.109

=====

Entry 6:
A plane-wave DFT calculation with PBE was carried out for TbTlCdTe3 after structural relaxation.

Lattice parameters (Å, degrees): 9.450 4.506 10.519 90.00 106.30 90.00
Fractional positions:
Tb: 0.174 0.250 0.140
Tb: 0.826 0.750 0.860
Tl: 0.292 0.750 0.778
Tl: 0.708 0.250 0.222
Cd: 0.416 0.750 0.394
Cd: 0.584 0.250 0.606
Te: 0.044 0.250 0.838
Te: 0.264 0.250 0.464
Te: 0.398 0.750 0.121
Te: 0.602 0.250 0.879
Te: 0.736 0.750 0.536
Te: 0.956 0.750 0.162

## Properties
M_tot, μB/f.u.: 0.00
Raw formation energy, eV/atom: -0.816

=====

Entry 7:
A plane-wave DFT calculation with PBE was carried out for AcSmEr3 after structural relaxation.

Lattice parameters (Å, degrees): 9.405 6.379 12.474 90.00 114.28 90.00
Fractional positions:
Ac: 0.154 0.174 0.102
Ac: 0.154 0.326 0.602
Ac: 0.846 0.674 0.398
Ac: 0.846 0.826 0.898
Sm: 0.261 0.665 0.001
Sm: 0.261 0.835 0.501
Sm: 0.739 0.165 0.499
Sm: 0.739 0.335 0.999
Er: 0.052 0.666 0.205
Er: 0.052 0.834 0.705
Er: 0.355 0.163 0.903
Er: 0.355 0.337 0.403
Er: 0.446 0.671 0.799
Er: 0.446 0.829 0.299
Er: 0.554 0.171 0.701
Er: 0.554 0.329 0.201
Er: 0.645 0.663 0.597
Er: 0.645 0.837 0.097
Er: 0.948 0.166 0.295
Er: 0.948 0.334 0.795

## Properties
ΔE to the lowest computed polymorph, eV/atom: 0.000
DFT formation energy, meV per atom: 45.4
N(E_F), states/eV/f.u.: 8.37
M_tot, μB/f.u.: 0.00